[1]
The following is a DFT calculation (PBE-GGA) of a relaxed MgGeP crystal.

Structure (POSCAR):
```
MgGeP
1.0
3.534 0.000 0.000
0.000 3.999 0.000
0.000 0.000 8.021
Mg Ge P
2 2 2
direct
0.250 0.250 0.137
0.750 0.750 0.863
0.250 0.750 0.424
0.750 0.250 0.576
0.250 0.250 0.806
0.750 0.750 0.194
```

## Properties
* volume: 18.89 Å³ per atom
* symmetry: Pmmn, No. 59
* energy relative to the lowest polymorph listed for this composition: 26.1 kJ/mol of formula units
* density of states at the Fermi level: 0.220 states/eV/atom
* formation energy from the elements: -218 meV per atom



[2]
The following is a DFT calculation (PBE-GGA) of a relaxed BaFeAu crystal.

Structure (POSCAR):
```
BaFeAu
1.0
-1.836 1.836 5.761
1.836 -1.836 5.761
1.836 1.836 -5.761
Ba Fe Au
1 1 1
direct
0.000 0.000 0.000
0.270 0.270 0.000
0.714 0.714 0.000
```

## Properties
* volume: 25.90 Å³ per atom
* symmetry: I4mm, No. 107
* density of states at the Fermi level: 1.076 states/eV/atom
* formation energy from the elements: 176 meV per atom



[3]
The following is a DFT calculation (PBE-GGA) of a relaxed Ag8Hg3Au2 crystal.

Structure (POSCAR):
```
Ag8Hg3Au2
1.0
2.760 1.594 10.311
-2.760 1.594 10.311
0.000 -3.187 10.311
Ag Hg Au
8 3 2
direct
0.229 0.229 0.229
0.233 0.233 0.732
0.233 0.732 0.233
0.268 0.767 0.767
0.732 0.233 0.233
0.767 0.268 0.767
0.767 0.767 0.268
0.771 0.771 0.771
0.320 0.320 0.320
0.500 0.500 0.500
0.680 0.680 0.680
0.141 0.141 0.141
0.859 0.859 0.859
```

## Properties
* volume: 20.93 Å³ per atom
* symmetry: R-3m, No. 166
* density of states at the Fermi level: 0.354 states/eV/atom
* formation energy from the elements: 163 meV per atom



[4]
The following is a DFT calculation (PBE-GGA) of a relaxed RbZn2Fe2 crystal.

Structure (POSCAR):
```
RbZn2Fe2
1.0
8.071 0.000 0.000
0.000 8.071 0.000
0.000 0.000 2.750
Rb Zn Fe
2 4 4
direct
0.000 0.000 0.000
0.500 0.500 0.000
0.174 0.326 0.500
0.326 0.826 0.500
0.674 0.174 0.500
0.826 0.674 0.500
0.104 0.604 0.000
0.396 0.104 0.000
0.604 0.896 0.000
0.896 0.396 0.000
```

## Properties
* volume: 17.91 Å³ per atom
* symmetry: P4/mbm, No. 127
* energy relative to the lowest polymorph listed for this composition: 0.0 kJ/mol of formula units
* density of states at the Fermi level: 0.718 states/eV/atom
* formation energy from the elements: 504 meV per atom



[5]
The following is a DFT calculation (PBE-GGA) of a relaxed Sr2MgSn4Rh3 crystal.

Structure (POSCAR):
```
Sr2MgSn4Rh3
1.0
4.568 0.000 0.000
0.000 4.568 0.000
0.000 0.000 11.354
Sr Mg Sn Rh
2 1 4 3
direct
0.000 0.500 0.244
0.500 0.000 0.756
0.000 0.000 0.500
0.000 0.000 0.000
0.000 0.500 0.641
0.500 0.000 0.359
0.500 0.500 0.000
0.000 0.500 0.876
0.500 0.000 0.124
0.500 0.500 0.500
```

## Properties
* volume: 23.69 Å³ per atom
* symmetry: P-4m2, No. 115
* density of states at the Fermi level: 0.757 states/eV/atom
* formation energy from the elements: -547 meV per atom



[6]
The following is a DFT calculation (PBE-GGA) of a relaxed SiPb3W crystal.

Structure (POSCAR):
```
SiPb3W
1.0
5.234 0.000 0.000
0.000 5.234 0.000
0.000 0.000 5.234
Si Pb W
1 3 1
direct
0.000 0.000 0.000
0.000 0.000 0.500
0.000 0.500 0.000
0.500 0.000 0.000
0.500 0.500 0.500
```

## Properties
* volume: 28.67 Å³ per atom
* symmetry: Pm-3m, No. 221
* energy relative to the lowest polymorph listed for this composition: 302.2 kJ/mol of formula units
* E_form (uncorrected): 1.729 eV per atom
* density of states at the Fermi level: 1.488 states/eV/atom



Repeat the third record exactly.
The following is a DFT calculation (PBE-GGA) of a relaxed Ag8Hg3Au2 crystal.

Structure (POSCAR):
```
Ag8Hg3Au2
1.0
2.760 1.594 10.311
-2.760 1.594 10.311
0.000 -3.187 10.311
Ag Hg Au
8 3 2
direct
0.229 0.229 0.229
0.233 0.233 0.732
0.233 0.732 0.233
0.268 0.767 0.767
0.732 0.233 0.233
0.767 0.268 0.767
0.767 0.767 0.268
0.771 0.771 0.771
0.320 0.320 0.320
0.500 0.500 0.500
0.680 0.680 0.680
0.141 0.141 0.141
0.859 0.859 0.859
```

## Properties
* volume: 20.93 Å³ per atom
* symmetry: R-3m, No. 166
* density of states at the Fermi level: 0.354 states/eV/atom
* formation energy from the elements: 163 meV per atom